Entry 1:
The following is a PBE-GGA calculation of a relaxed structure of TbNd2SmDy2, from Alexandria.

M_tot: 0.00 Bohr magnetons per cell
electronic total energy: -53.1 eV per cell
crystal system: orthorhombic
ΔH_f (0 K): 0.2600 eV/atom

Unit cell a=6.627 b=18.107 c=3.407 alpha=90.00 beta=90.00 gamma=90.00
Fractional coordinates of all 12 atoms:
Tb 0.000 0.000 0.000
Tb 0.500 0.500 0.500
Nd 0.227 0.186 0.000
Nd 0.273 0.686 0.500
Nd 0.727 0.314 0.500
Nd 0.773 0.814 0.000
Sm 0.000 0.500 0.000
Sm 0.500 0.000 0.500
Dy 0.226 0.354 0.500
Dy 0.274 0.854 0.000
Dy 0.726 0.146 0.000
Dy 0.774 0.646 0.500


Entry 2:
The following is a PBE-GGA calculation of a relaxed structure of Tb2NdSmDy6, from Alexandria.

M_tot: 0.00 Bohr magnetons per cell
electronic total energy: -90.3 eV per cell
crystal system: monoclinic
ΔH_f (0 K): 0.1232 eV/atom

Unit cell a=8.795 b=8.795 c=9.642 alpha=94.14 beta=94.14 gamma=117.84
Fractional coordinates of all 20 atoms:
Tb 0.193 0.297 0.044
Tb 0.297 0.193 0.544
Tb 0.703 0.807 0.456
Tb 0.807 0.703 0.956
Nd 0.407 0.593 0.750
Nd 0.593 0.407 0.250
Sm 0.024 0.976 0.250
Sm 0.976 0.024 0.750
Dy 0.025 0.572 0.182
Dy 0.120 0.748 0.557
Dy 0.252 0.880 0.943
Dy 0.293 0.506 0.380
Dy 0.428 0.975 0.318
Dy 0.494 0.707 0.120
Dy 0.506 0.293 0.880
Dy 0.572 0.025 0.682
Dy 0.707 0.494 0.620
Dy 0.748 0.120 0.057
Dy 0.880 0.252 0.443
Dy 0.975 0.428 0.818


Entry 3:
The following is a PBE-GGA calculation of a relaxed structure of Tb2Nd2Sm4Dy, from Alexandria.

M_tot: 0.00 Bohr magnetons per cell
electronic total energy: -42.2 eV per cell
crystal system: monoclinic
ΔH_f (0 K): 0.0051 eV/atom

Unit cell a=9.633 b=9.633 c=9.698 alpha=115.18 beta=115.18 gamma=21.83
Fractional coordinates of all 9 atoms:
Tb 0.148 0.148 0.166
Tb 0.852 0.852 0.834
Nd 0.334 0.334 0.501
Nd 0.666 0.666 0.499
Sm 0.186 0.186 0.834
Sm 0.481 0.481 0.166
Sm 0.519 0.519 0.834
Sm 0.814 0.814 0.166
Dy 0.000 0.000 0.500